(1)
An optimized crystal structure of LiBeNi6. Source: Alexandria via LeMat-Bulk, functional GGA-PBEsol.

formation energy: -0.058 eV/atom
SG: Cmmm (65)

```
data_LiBeNi6
_space_group_name_H-M_alt 'P 1'
_space_group_IT_number 1
_space_group_name_Hall 'P 1'
_cell_length_a 5.9211
_cell_length_b 5.9211
_cell_length_c 9.6669
_cell_angle_alpha 90.00
_cell_angle_beta 90.00
_cell_angle_gamma 109.40
loop_
_atom_site_label
_atom_site_type_symbol
_atom_site_fract_x
_atom_site_fract_y
_atom_site_fract_z
Ni1 Ni 0.5000 0.5000 0.0000
Ni2 Ni 0.7521 0.2479 0.7448
Ni3 Ni 0.3720 0.1194 0.6224
Ni4 Ni 0.8787 0.6314 0.8722
Ni5 Ni 0.1194 0.3720 0.3776
Ni6 Ni 0.5000 0.5000 0.5000
Ni7 Ni 0.6280 0.8806 0.3776
Ni8 Ni 0.8806 0.6280 0.6224
Ni9 Ni 0.3686 0.1213 0.1278
Ni10 Ni 0.2479 0.7521 0.7448
Ni11 Ni 0.1213 0.3686 0.8722
Ni12 Ni 0.2479 0.7521 0.2552
Ni13 Ni 0.1213 0.3686 0.1278
Ni14 Ni 0.7521 0.2479 0.2552
Ni15 Ni 0.8787 0.6314 0.1278
Ni16 Ni 0.6280 0.8806 0.6224
Ni17 Ni 0.8806 0.6280 0.3776
Ni18 Ni 0.0000 0.0000 0.5000
Ni19 Ni 0.3686 0.1213 0.8722
Ni20 Ni 0.0000 0.0000 0.0000
Ni21 Ni 0.3720 0.1194 0.3776
Ni22 Ni 0.6314 0.8787 0.8722
Ni23 Ni 0.6314 0.8787 0.1278
Ni24 Ni 0.1194 0.3720 0.6224
Be1 Be 0.7462 0.2538 0.5000
Be2 Be 0.0000 0.0000 0.7491
Be3 Be 0.2538 0.7462 0.5000
Be4 Be 0.0000 0.0000 0.2509
Li1 Li 0.5000 0.5000 0.2513
Li2 Li 0.7472 0.2528 0.0000
Li3 Li 0.2528 0.7472 0.0000
Li4 Li 0.5000 0.5000 0.7487
```



(2)
An optimized crystal structure of Li2BePtO. Source: Alexandria via LeMat-Bulk, functional GGA-PBEsol.

SG: P4/mmm (123)
formation energy (no corrections): -0.675 eV/atom

```
data_Li2BePtO
_space_group_name_H-M_alt 'P 1'
_space_group_IT_number 1
_space_group_name_Hall 'P 1'
_cell_length_a 3.4290
_cell_length_b 3.4290
_cell_length_c 4.8300
_cell_angle_alpha 90.00
_cell_angle_beta 90.00
_cell_angle_gamma 90.00
loop_
_atom_site_label
_atom_site_type_symbol
_atom_site_fract_x
_atom_site_fract_y
_atom_site_fract_z
Be1 Be 0.5000 0.5000 0.5000
Pt1 Pt 0.0000 0.0000 0.5000
Li1 Li 0.5000 0.0000 0.0000
Li2 Li 0.0000 0.5000 0.0000
O1 O 0.0000 0.0000 0.0000
```



(3)
An optimized crystal structure of Li2BeSiO4. Source: Alexandria via LeMat-Bulk, functional GGA-PBEsol.

SG: Pc (7)
formation energy (no corrections): -2.650 eV/atom

```
data_Li2BeSiO4
_space_group_name_H-M_alt 'P 1'
_space_group_IT_number 1
_space_group_name_Hall 'P 1'
_cell_length_a 4.6933
_cell_length_b 4.9422
_cell_length_c 6.0881
_cell_angle_alpha 90.00
_cell_angle_beta 90.02
_cell_angle_gamma 90.00
loop_
_atom_site_label
_atom_site_type_symbol
_atom_site_fract_x
_atom_site_fract_y
_atom_site_fract_z
Si1 Si 0.9912 0.1790 0.9973
Si2 Si 0.4912 0.8210 0.4973
Be1 Be 0.4914 0.3208 0.2486
Be2 Be 0.9914 0.6792 0.7486
O1 O 0.5826 0.1403 0.4670
O2 O 0.0826 0.8597 0.9670
O3 O 0.6435 0.1992 0.0275
O4 O 0.1435 0.8008 0.5275
O5 O 0.1444 0.3008 0.2179
O6 O 0.5828 0.6419 0.2804
O7 O 0.0828 0.3581 0.7804
O8 O 0.6444 0.6992 0.7179
Li1 Li 0.0020 0.1759 0.4996
Li2 Li 0.5022 0.3346 0.7468
Li3 Li 0.0022 0.6654 0.2468
Li4 Li 0.5020 0.8241 0.9996
```



(4)
An optimized crystal structure of LiYBe2O. Source: Alexandria via LeMat-Bulk, functional GGA-PBEsol.

SG: P4/mmm (123)
formation energy (no corrections): 0.035 eV/atom

```
data_LiYBe2O
_space_group_name_H-M_alt 'P 1'
_space_group_IT_number 1
_space_group_name_Hall 'P 1'
_cell_length_a 3.8418
_cell_length_b 4.1002
_cell_length_c 4.1002
_cell_angle_alpha 90.00
_cell_angle_beta 90.00
_cell_angle_gamma 90.00
loop_
_atom_site_label
_atom_site_type_symbol
_atom_site_fract_x
_atom_site_fract_y
_atom_site_fract_z
Li1 Li 0.0000 0.0000 0.0000
O1 O 0.5000 0.0000 0.0000
Be1 Be 0.0000 0.0000 0.5000
Be2 Be 0.0000 0.5000 0.0000
Y1 Y 0.5000 0.5000 0.5000
```



(5)
An optimized crystal structure of LiBeOs. Source: Alexandria via LeMat-Bulk, functional GGA-PBEsol.

formation energy: 0.223 eV/atom
SG: Imm2 (44)

```
data_LiBeOs
_space_group_name_H-M_alt 'P 1'
_space_group_IT_number 1
_space_group_name_Hall 'P 1'
_cell_length_a 2.4378
_cell_length_b 3.7718
_cell_length_c 4.3379
_cell_angle_alpha 115.77
_cell_angle_beta 106.32
_cell_angle_gamma 90.00
loop_
_atom_site_label
_atom_site_type_symbol
_atom_site_fract_x
_atom_site_fract_y
_atom_site_fract_z
Os1 Os 0.3390 0.3390 0.6781
Be1 Be 0.9966 0.9966 0.9932
Li1 Li 0.6644 0.6644 0.3288
```



(6)
An optimized crystal structure of Li4BeOs. Source: Alexandria via LeMat-Bulk, functional GGA-PBEsol.

formation energy: 0.495 eV/atom
SG: F-43m (216)

```
data_Li4BeOs
_space_group_name_H-M_alt 'P 1'
_space_group_IT_number 1
_space_group_name_Hall 'P 1'
_cell_length_a 4.6002
_cell_length_b 4.6002
_cell_length_c 4.6002
_cell_angle_alpha 60.00
_cell_angle_beta 60.00
_cell_angle_gamma 60.00
loop_
_atom_site_label
_atom_site_type_symbol
_atom_site_fract_x
_atom_site_fract_y
_atom_site_fract_z
Li1 Li 0.6241 0.6241 0.6241
Li2 Li 0.6241 0.6241 0.1276
Li3 Li 0.1276 0.6241 0.6241
Li4 Li 0.6241 0.1276 0.6241
Be1 Be 0.0000 0.0000 0.0000
Os1 Os 0.2500 0.2500 0.2500
```



(7)
An optimized crystal structure of LiBe2Os2. Source: Alexandria via LeMat-Bulk, functional GGA-PBEsol.

formation energy: -0.063 eV/atom
SG: P4/mbm (127)

```
data_LiBe2Os2
_space_group_name_H-M_alt 'P 1'
_space_group_IT_number 1
_space_group_name_Hall 'P 1'
_cell_length_a 3.1250
_cell_length_b 5.7641
_cell_length_c 5.7641
_cell_angle_alpha 90.00
_cell_angle_beta 90.00
_cell_angle_gamma 90.00
loop_
_atom_site_label
_atom_site_type_symbol
_atom_site_fract_x
_atom_site_fract_y
_atom_site_fract_z
Li1 Li 0.0000 0.0000 0.0000
Li2 Li 0.0000 0.5000 0.5000
Be1 Be 0.0000 0.1242 0.3758
Be2 Be 0.0000 0.8758 0.6242
Be3 Be 0.0000 0.3758 0.8758
Be4 Be 0.0000 0.6242 0.1242
Os1 Os 0.5000 0.8268 0.3268
Os2 Os 0.5000 0.6732 0.8268
Os3 Os 0.5000 0.1732 0.6732
Os4 Os 0.5000 0.3268 0.1732
```



(8)
An optimized crystal structure of LiBeOs2Pb. Source: Alexandria via LeMat-Bulk, functional GGA-PBEsol.

formation energy: 1.284 eV/atom
SG: P4/mmm (123)

```
data_LiBeOs2Pb
_space_group_name_H-M_alt 'P 1'
_space_group_IT_number 1
_space_group_name_Hall 'P 1'
_cell_length_a 3.7841
_cell_length_b 4.3151
_cell_length_c 4.3151
_cell_angle_alpha 90.00
_cell_angle_beta 90.00
_cell_angle_gamma 90.00
loop_
_atom_site_label
_atom_site_type_symbol
_atom_site_fract_x
_atom_site_fract_y
_atom_site_fract_z
Pb1 Pb 0.5000 0.5000 0.5000
Os1 Os 0.0000 0.0000 0.5000
Os2 Os 0.0000 0.5000 0.0000
Li1 Li 0.0000 0.0000 0.0000
Be1 Be 0.5000 0.0000 0.0000
```



(9)
An optimized crystal structure of LiBe2P. Source: Alexandria via LeMat-Bulk, functional GGA-PBEsol.

formation energy: 0.238 eV/atom
SG: F-43m (216)

```
data_LiBe2P
_space_group_name_H-M_alt 'P 1'
_space_group_IT_number 1
_space_group_name_Hall 'P 1'
_cell_length_a 3.9111
_cell_length_b 3.9111
_cell_length_c 3.9111
_cell_angle_alpha 60.00
_cell_angle_beta 60.00
_cell_angle_gamma 60.00
loop_
_atom_site_label
_atom_site_type_symbol
_atom_site_fract_x
_atom_site_fract_y
_atom_site_fract_z
Be1 Be 0.7500 0.7500 0.7500
Be2 Be 0.0000 0.0000 0.0000
P1 P 0.2500 0.2500 0.2500
Li1 Li 0.5000 0.5000 0.5000
```



(10)
An optimized crystal structure of Li2BeP. Source: Alexandria via LeMat-Bulk, functional GGA-PBEsol.

formation energy: -0.356 eV/atom
SG: R3m (160)

```
data_Li2BeP
_space_group_name_H-M_alt 'P 1'
_space_group_IT_number 1
_space_group_name_Hall 'P 1'
_cell_length_a 3.6745
_cell_length_b 3.6745
_cell_length_c 5.0735
_cell_angle_alpha 68.77
_cell_angle_beta 68.77
_cell_angle_gamma 60.00
loop_
_atom_site_label
_atom_site_type_symbol
_atom_site_fract_x
_atom_site_fract_y
_atom_site_fract_z
Li1 Li 0.2325 0.2325 0.3025
Li2 Li 0.0209 0.0209 0.9373
P1 P 0.4469 0.4469 0.6593
Be1 Be 0.8006 0.8006 0.5983
```



(11)
An optimized crystal structure of Li2BeP. Source: Alexandria via LeMat-Bulk, functional GGA-PBEsol.

formation energy: -0.207 eV/atom
SG: I4/mmm (139)

```
data_Li2BeP
_space_group_name_H-M_alt 'P 1'
_space_group_IT_number 1
_space_group_name_Hall 'P 1'
_cell_length_a 3.4515
_cell_length_b 4.5239
_cell_length_c 3.4510
_cell_angle_alpha 112.38
_cell_angle_beta 90.00
_cell_angle_gamma 112.43
loop_
_atom_site_label
_atom_site_type_symbol
_atom_site_fract_x
_atom_site_fract_y
_atom_site_fract_z
P1 P 0.0000 0.0000 0.5000
Li1 Li 0.7498 0.4996 0.7498
Li2 Li 0.2502 0.5004 0.2502
Be1 Be 0.5000 0.0000 0.0000
```



(12)
An optimized crystal structure of Li2BeP. Source: Alexandria via LeMat-Bulk, functional GGA-PBEsol.

formation energy: -0.256 eV/atom
SG: Imm2 (44)

```
data_Li2BeP
_space_group_name_H-M_alt 'P 1'
_space_group_IT_number 1
_space_group_name_Hall 'P 1'
_cell_length_a 3.5034
_cell_length_b 3.9870
_cell_length_c 4.5377
_cell_angle_alpha 116.06
_cell_angle_beta 112.71
_cell_angle_gamma 90.00
loop_
_atom_site_label
_atom_site_type_symbol
_atom_site_fract_x
_atom_site_fract_y
_atom_site_fract_z
Li1 Li 0.9875 0.9875 0.9750
Li2 Li 0.7641 0.2641 0.5282
Be1 Be 0.2008 0.7008 0.4017
P1 P 0.5476 0.5476 0.0951
```